Rb3In: relaxed, PBE.

Lattice parameters (Å, degrees): 6.1757 6.1757 6.1757 90.00 90.00 90.00
With the nearest neighbours (Å) after each atom.
Space group Pm-3m (No. 221)
Inequivalent atoms, fractional coordinates:
Rb: 0.0000 0.0000 0.5000 [3 per cell]  4 In 4.37, 8 Rb 4.37
In: 0.5000 0.5000 0.5000 [1 per cell]  12 Rb 4.37

Calculated values
Crystal system = cubic
Total magnetic moment = 0.00 μB per atom
ΔE_f = 0.10 eV/atom